Below is TlPPt5 at its PBEsol-relaxed geometry, with properties calculated at the meta-GGA SCAN level.

abc: 3.9505 3.9505 7.0770
angles: 90.00 90.00 90.00
Closest atoms and distances in Å follow each position.
Positions (direct):
Pt (0.5000, 0.0000, 0.6979)  2 P 2.42
Pt (0.0000, 0.5000, 0.3021)  2 P 2.42
P (0.0000, 0.0000, 0.5000)  8 Pt 2.42
Tl (0.5000, 0.5000, 0.0000)  12 Pt 2.79-2.91
Pt (0.5000, 0.0000, 0.3021)  2 P 2.42
Pt (0.0000, 0.0000, 0.0000)  4 Tl 2.79, 8 Pt 2.91
Pt (0.0000, 0.5000, 0.6979)  2 P 2.42

Properties
* calculated density: 18.2 g cm⁻³
* total energy: -62.21 eV per atom